[1]
The following is a DFT calculation (PBE) of a relaxed Rb7Au4Br crystal.

Results
Crystal system   monoclinic
Density of states at the Fermi level   12.31 states/eV per cell
Total DFT energy (no corrections)   -2.26 eV per atom
M_tot   0.00 Bohr magnetons per cell
Uncorrected formation energy   -532 kJ/mol of formula units

abc: 16.8102 4.7433 14.7766
angles: 90.00 106.15 90.00
Closest atoms and distances in Å follow each position.
Space group Cm (No. 8)
Inequivalent atoms, fractional coordinates:
Rb 0.0000 0.0000 0.0000 x2  4 Au 3.46-3.55
Rb 0.0015 0.5000 0.2601 x2  2 Au 3.47, 2 Br 3.48
Rb 0.0762 0.0000 0.5676 x2  3 Au 3.40-3.52, 1 Br 3.45
Rb 0.1984 0.5000 0.8476 x2  5 Au 3.50-3.77
Rb 0.2618 0.5000 0.1470 x2  4 Au 3.52-3.65, 1 Br 3.52
Rb 0.2855 0.0000 0.4410 x2  3 Au 3.46-3.68, 2 Br 3.49
Rb 0.3823 0.0000 0.7457 x2  4 Au 3.48-3.60
Au 0.0396 0.0000 0.7823 x2  6 Rb 3.40-3.50
Au 0.1397 0.0000 0.2230 x2  6 Rb 3.46-3.52
Au 0.2372 0.5000 0.6085 x2  7 Rb 3.52-3.77
Au 0.3458 0.0000 0.0103 x2  7 Rb 3.55-3.89
Br 0.4084 0.5000 0.3698 x2  6 Rb 3.45-3.52

---

[2]
The following is a DFT calculation (PBE) of a relaxed CrInNi2 crystal.

Results
Crystal system   trigonal
Density of states at the Fermi level   14.57 states/eV per cell
Total DFT energy (no corrections)   -5.64 eV per atom
Formation energy   0.34 eV per atom
M_tot   6.81 Bohr magnetons per cell

abc: 2.8343 2.8343 24.5027
angles: 90.00 90.00 120.00
Closest atoms and distances in Å follow each position.
Space group R-3m (No. 166, hexagonal axes)
Inequivalent atoms, fractional coordinates:
Cr 0.0000 0.0000 0.0000 x3  6 Ni 2.48
In 0.0000 0.0000 0.5000 x3  6 Ni 2.76, 6 In 2.83
Ni 0.0000 0.0000 0.2572 x6  3 Cr 2.48, 3 In 2.76